No. 1
ZrAl2Ru after structural relaxation, computed with PBE.

abc: 3.0741 3.0745 6.9440
angles: 90.00 90.00 90.00
Fractional coordinates of all 4 atoms:
Ru 0.5000 0.5000 0.2500
Al 0.0000 0.0000 0.0509
Al 0.0000 0.0000 0.4491
Zr 0.5000 0.5000 0.7500

Summary:
* theoretical density: 6.23 g cm⁻³
* magnetization: 0.0 μB per formula unit
* energy relative to the elements: -0.5824 eV/atom
* calculated total energy: -6.9096 eV/atom



No. 2
ZrAl4Ru5 after structural relaxation, computed with PBE.

abc: 3.0893 3.0893 15.1202
angles: 90.00 90.00 90.00
Fractional coordinates of all 10 atoms:
Zr 0.0000 0.0000 0.0000
Al 0.0000 0.0000 0.2093
Al 0.0000 0.0000 0.4026
Al 0.0000 0.0000 0.5974
Al 0.0000 0.0000 0.7907
Ru 0.5000 0.5000 0.1106
Ru 0.5000 0.5000 0.3050
Ru 0.5000 0.5000 0.5000
Ru 0.5000 0.5000 0.6950
Ru 0.5000 0.5000 0.8894

Summary:
* theoretical density: 8.11 g cm⁻³
* magnetization: 0.0 μB per formula unit
* energy relative to the elements: -0.6250 eV/atom
* calculated total energy: -7.6147 eV/atom



No. 3
Zr3AlRu after structural relaxation, computed with PBE.

abc: 4.9027 4.9027 4.9027
angles: 90.00 90.00 90.00
Each line ends with the local moment (μB).
Fractional coordinates of all 5 atoms:
Ru 0.5000 0.5000 0.5000  0.50
Al 0.0000 0.0000 0.0000  0.00
Zr 0.0000 0.5000 0.0000  -0.03
Zr 0.0000 0.0000 0.5000  -0.05
Zr 0.5000 0.0000 0.0000  -0.06

Summary:
* theoretical density: 5.66 g cm⁻³
* magnetization: 0.3 μB per formula unit
* energy relative to the elements: 1.0176 eV/atom
* calculated total energy: -6.7150 eV/atom



No. 4
Zr2AlRu after structural relaxation, computed with PBE.

abc: 4.3396 3.3435 5.5076
angles: 72.28 90.00 90.00
Fractional coordinates of all 4 atoms:
Ru 0.5000 0.5421 0.7935
Al 0.0000 0.6975 0.4798
Zr 0.0000 0.9760 0.9215
Zr 0.5000 0.2845 0.3052

Summary:
* theoretical density: 6.77 g cm⁻³
* magnetization: 0.0 μB per formula unit
* energy relative to the elements: -0.4470 eV/atom
* calculated total energy: -7.9757 eV/atom



No. 5
ZrAlRu after structural relaxation, computed with PBE.

abc: 4.5821 4.5821 5.6060
angles: 90.00 90.00 120.00
Fractional coordinates of all 6 atoms:
Ru 0.3333 0.6667 0.1888
Ru 0.6667 0.3333 0.8112
Al 0.0000 0.0000 0.0000
Al 0.0000 0.0000 0.5000
Zr 0.3333 0.6667 0.6933
Zr 0.6667 0.3333 0.3067

Summary:
* theoretical density: 7.14 g cm⁻³
* magnetization: 0.0 μB per formula unit
* energy relative to the elements: -0.5637 eV/atom
* calculated total energy: -7.7525 eV/atom



No. 6
Zr2AlRu after structural relaxation, computed with PBE.

abc: 7.5926 7.5926 6.0570
angles: 51.19 51.19 90.00
Fractional coordinates of all 8 atoms:
Ru 0.0000 0.0000 0.0000
Ru 0.7500 0.2500 0.5000
Al 0.5000 0.5000 0.0000
Al 0.2500 0.7500 0.5000
Zr 0.6679 0.1250 0.2500
Zr 0.0821 0.6250 0.2500
Zr 0.3750 0.3321 0.7500
Zr 0.8750 0.9179 0.7500

Summary:
* theoretical density: 6.38 g cm⁻³
* magnetization: 0.0 μB per formula unit
* energy relative to the elements: -0.0040 eV/atom
* calculated total energy: -7.5327 eV/atom



No. 7
ZrAl5Ru6 after structural relaxation, computed with PBE.

abc: 4.3295 6.1238 7.4781
angles: 114.17 106.83 90.00
Fractional coordinates of all 12 atoms:
Ru 0.8286 0.5700 0.6573
Ru 0.8286 0.0873 0.6573
Ru 0.5000 0.7350 0.0000
Ru 0.5000 0.2650 0.0000
Ru 0.1714 0.9127 0.3427
Ru 0.1714 0.4300 0.3427
Al 0.6636 0.1636 0.3272
Al 0.3308 0.3308 0.6616
Al 0.0000 0.5000 0.0000
Al 0.6692 0.6692 0.3384
Al 0.3364 0.8364 0.6728
Zr 0.0000 0.0000 0.0000

Summary:
* theoretical density: 8.06 g cm⁻³
* magnetization: 0.0 μB per formula unit
* energy relative to the elements: -0.6656 eV/atom
* calculated total energy: -7.5753 eV/atom



No. 8
ZrAl2Ru after structural relaxation, computed with PBE.

abc: 3.1713 3.1713 6.5726
angles: 90.00 90.00 90.00
Fractional coordinates of all 4 atoms:
Ru 0.0000 0.0000 0.4631
Al 0.0000 0.0000 0.0292
Al 0.5000 0.5000 0.2740
Zr 0.5000 0.5000 0.7337

Summary:
* theoretical density: 6.19 g cm⁻³
* magnetization: 0.0 μB per formula unit
* energy relative to the elements: -0.5301 eV/atom
* calculated total energy: -6.8573 eV/atom



No. 9
ZrAlRu after structural relaxation, computed with PBE.

abc: 5.2543 7.0836 5.4528
angles: 90.00 90.00 90.00
Fractional coordinates of all 12 atoms:
Ru 0.2500 0.7611 0.5478
Ru 0.7500 0.2389 0.5478
Ru 0.7500 0.2611 0.0478
Ru 0.2500 0.7389 0.0478
Al 0.0000 0.0000 0.8187
Al 0.5000 0.0000 0.8187
Al 0.5000 0.5000 0.3187
Al 0.0000 0.5000 0.3187
Zr 0.2500 0.3847 0.8225
Zr 0.7500 0.6153 0.8225
Zr 0.7500 0.8847 0.3225
Zr 0.2500 0.1153 0.3225

Summary:
* theoretical density: 7.18 g cm⁻³
* magnetization: 0.0 μB per formula unit
* energy relative to the elements: -0.5944 eV/atom
* calculated total energy: -7.7832 eV/atom



No. 10
ZrAlRu2 after structural relaxation, computed with PBE.

abc: 3.1767 3.1767 6.2009
angles: 90.00 90.00 90.00
Fractional coordinates of all 4 atoms:
Ru 0.0000 0.0000 0.9839
Ru 0.0000 0.0000 0.5161
Al 0.5000 0.5000 0.7500
Zr 0.5000 0.5000 0.2500

Summary:
* theoretical density: 8.50 g cm⁻³
* magnetization: 0.0 μB per formula unit
* energy relative to the elements: -0.6526 eV/atom
* calculated total energy: -8.3632 eV/atom



No. 11
Zr5AlRu6 after structural relaxation, computed with PBE.

abc: 4.5757 6.4782 7.9355
angles: 114.09 106.76 90.00
Fractional coordinates of all 12 atoms:
Ru 0.8342 0.5852 0.6685
Ru 0.8342 0.0833 0.6685
Ru 0.5000 0.7495 0.0000
Ru 0.5000 0.2505 0.0000
Ru 0.1658 0.9167 0.3315
Ru 0.1658 0.4148 0.3315
Al 0.0000 0.0000 0.0000
Zr 0.6586 0.1586 0.3173
Zr 0.3313 0.3313 0.6627
Zr 0.0000 0.5000 0.0000
Zr 0.6687 0.6687 0.3373
Zr 0.3414 0.8414 0.6827

Summary:
* theoretical density: 8.88 g cm⁻³
* magnetization: 0.0 μB per formula unit
* energy relative to the elements: -0.6665 eV/atom
* calculated total energy: -9.1780 eV/atom



No. 12
ZrAlRu after structural relaxation, computed with PBE.

abc: 4.3732 4.3732 4.3732
angles: 60.00 60.00 60.00
Fractional coordinates of all 3 atoms:
Ru 0.2500 0.2500 0.2500
Al 0.5000 0.5000 0.5000
Zr 0.0000 0.0000 0.0000

Summary:
* theoretical density: 6.16 g cm⁻³
* magnetization: 0.0 μB per formula unit
* energy relative to the elements: -0.3050 eV/atom
* calculated total energy: -7.4939 eV/atom



No. 13
ZrAl2Ru after structural relaxation, computed with PBE.

abc: 6.5475 4.5474 3.2889
angles: 90.04 59.79 122.54
Fractional coordinates of all 4 atoms:
Ru 0.0000 0.5000 0.5000
Al 0.0000 0.0000 0.0000
Al 0.5000 0.0000 0.5000
Zr 0.5000 0.5000 0.0000

Summary:
* theoretical density: 6.17 g cm⁻³
* magnetization: 0.0 μB per formula unit
* energy relative to the elements: -0.3250 eV/atom
* calculated total energy: -6.6523 eV/atom



No. 14
ZrAlRu after structural relaxation, computed with PBE.

abc: 4.4457 4.4457 4.4457
angles: 60.00 60.00 60.00
Fractional coordinates of all 3 atoms:
Ru 0.5000 0.5000 0.5000
Al 0.0000 0.0000 0.0000
Zr 0.2500 0.2500 0.2500

Summary:
* theoretical density: 5.86 g cm⁻³
* magnetization: 0.0 μB per formula unit
* energy relative to the elements: 0.3788 eV/atom
* calculated total energy: -6.8101 eV/atom



No. 15
ZrAlRu after structural relaxation, computed with PBE.

abc: 4.3819 4.3819 3.1386
angles: 90.00 90.00 120.00
Fractional coordinates of all 3 atoms:
Ru 0.3333 0.6667 0.2385
Al 0.0000 0.0000 0.1306
Zr 0.6667 0.3333 0.6309

Summary:
* theoretical density: 6.98 g cm⁻³
* magnetization: 0.0 μB per formula unit
* energy relative to the elements: -0.4631 eV/atom
* calculated total energy: -7.6519 eV/atom



No. 16
ZrAl2Ru after structural relaxation, computed with PBE.

abc: 4.3081 3.0963 5.0161
angles: 81.40 90.00 90.00
Fractional coordinates of all 4 atoms:
Ru 0.0000 0.5098 0.4431
Al 0.0000 0.1441 0.9929
Al 0.5000 0.1464 0.2820
Zr 0.5000 0.6998 0.7820

Summary:
* theoretical density: 6.18 g cm⁻³
* magnetization: 0.0 μB per formula unit
* energy relative to the elements: -0.4072 eV/atom
* calculated total energy: -6.7344 eV/atom



No. 17
Zr2Al6Ru after structural relaxation, computed with PBE.

abc: 5.7631 5.5905 5.5905
angles: 60.00 90.00 90.00
Fractional coordinates of all 9 atoms:
Zr 0.8769 0.6667 0.6667
Zr 0.1231 0.3333 0.3333
Al 0.3145 0.3465 0.8267
Al 0.3145 0.8267 0.8267
Al 0.3145 0.8267 0.3465
Al 0.6855 0.6535 0.1733
Al 0.6855 0.1733 0.1733
Al 0.6855 0.1733 0.6535
Ru 0.0000 0.0000 0.0000

Summary:
* theoretical density: 4.74 g cm⁻³
* magnetization: 0.0 μB per formula unit
* energy relative to the elements: -0.4379 eV/atom
* calculated total energy: -5.8632 eV/atom



No. 18
ZrAl2Ru after structural relaxation, computed with PBE.

abc: 5.3924 5.3924 5.3924
angles: 146.37 127.94 63.43
Fractional coordinates of all 4 atoms:
Ru 0.7500 0.2500 0.5000
Al 0.9773 0.9773 0.0000
Al 0.5227 0.5227 0.0000
Zr 0.2500 0.7500 0.5000

Summary:
* theoretical density: 6.04 g cm⁻³
* magnetization: 0.0 μB per formula unit
* energy relative to the elements: -0.3720 eV/atom
* calculated total energy: -6.6992 eV/atom



No. 19
ZrAlRu2 after structural relaxation, computed with PBE.

abc: 4.5033 4.5033 4.5033
angles: 60.00 60.00 60.00
Fractional coordinates of all 4 atoms:
Ru 0.0000 0.0000 0.0000
Ru 0.2500 0.2500 0.2500
Al 0.5000 0.5000 0.5000
Zr 0.7500 0.7500 0.7500

Summary:
* theoretical density: 8.24 g cm⁻³
* magnetization: 0.0 μB per formula unit
* energy relative to the elements: -0.0855 eV/atom
* calculated total energy: -7.7961 eV/atom



No. 20
ZrAl2Ru after structural relaxation, computed with PBE.

abc: 9.0120 9.0120 9.0120
angles: 19.13 19.13 19.13
Fractional coordinates of all 4 atoms:
Ru 0.2500 0.2500 0.2500
Al 0.9883 0.9883 0.9883
Al 0.5117 0.5117 0.5117
Zr 0.7500 0.7500 0.7500

Summary:
* theoretical density: 5.95 g cm⁻³
* magnetization: 0.0 μB per formula unit
* energy relative to the elements: -0.2299 eV/atom
* calculated total energy: -6.5572 eV/atom



No. 21
ZrAlRu2 after structural relaxation, computed with PBE.

abc: 3.3698 3.3698 5.7715
angles: 90.00 90.00 90.00
Fractional coordinates of all 4 atoms:
Ru 0.0000 0.0000 0.9528
Ru 0.5000 0.5000 0.2720
Al 0.5000 0.5000 0.7903
Zr 0.0000 0.0000 0.4849

Summary:
* theoretical density: 8.12 g cm⁻³
* magnetization: 0.0 μB per formula unit
* energy relative to the elements: -0.2825 eV/atom
* calculated total energy: -7.9931 eV/atom



No. 22
Zr2Al2Ru after structural relaxation, computed with PBE.

abc: 6.8093 6.8093 3.9185
angles: 90.00 90.00 90.00
Fractional coordinates of all 10 atoms:
Ru 0.0000 0.0000 0.0000
Ru 0.5000 0.5000 0.0000
Al 0.3657 0.8657 0.0000
Al 0.8657 0.6343 0.0000
Al 0.6343 0.1343 0.0000
Al 0.1343 0.3657 0.0000
Zr 0.1706 0.6706 0.5000
Zr 0.6706 0.8294 0.5000
Zr 0.8294 0.3294 0.5000
Zr 0.3294 0.1706 0.5000

Summary:
* theoretical density: 6.17 g cm⁻³
* magnetization: 0.0 μB per formula unit
* energy relative to the elements: -0.4544 eV/atom
* calculated total energy: -7.2258 eV/atom



No. 23
ZrAl2Ru after structural relaxation, computed with PBE.

abc: 3.8401 3.8401 10.2061
angles: 79.16 79.16 90.00
Fractional coordinates of all 8 atoms:
Ru 0.0000 0.0000 0.0000
Ru 0.7500 0.2500 0.5000
Al 0.6342 0.1250 0.2500
Al 0.1158 0.6250 0.2500
Al 0.3750 0.3658 0.7500
Al 0.8750 0.8842 0.7500
Zr 0.5000 0.5000 0.0000
Zr 0.2500 0.7500 0.5000

Summary:
* theoretical density: 5.64 g cm⁻³
* magnetization: 0.0 μB per formula unit
* energy relative to the elements: -0.0795 eV/atom
* calculated total energy: -6.4068 eV/atom



No. 24
Zr2AlRu after structural relaxation, computed with PBE.

abc: 6.4895 4.5230 6.5174
angles: 90.00 52.40 90.00
Fractional coordinates of all 8 atoms:
Zr 0.1766 0.0000 0.4069
Zr 0.6084 0.0000 0.4874
Zr 0.6984 0.5000 0.0931
Zr 0.2666 0.5000 0.0126
Al 0.0528 0.0000 0.9153
Al 0.8221 0.5000 0.5847
Ru 0.6014 0.0000 0.9007
Ru 0.2737 0.5000 0.5993

Summary:
* theoretical density: 6.80 g cm⁻³
* magnetization: 0.0 μB per formula unit
* energy relative to the elements: -0.4845 eV/atom
* calculated total energy: -8.0132 eV/atom



No. 25
Zr2AlRu after structural relaxation, computed with PBE.

abc: 8.8754 8.8754 8.8754
angles: 20.92 20.92 20.92
Fractional coordinates of all 4 atoms:
Ru 0.7500 0.7500 0.7500
Al 0.2500 0.2500 0.2500
Zr 0.0070 0.0070 0.0070
Zr 0.4930 0.4930 0.4930

Summary:
* theoretical density: 6.61 g cm⁻³
* magnetization: 0.0 μB per formula unit
* energy relative to the elements: -0.2094 eV/atom
* calculated total energy: -7.7381 eV/atom



No. 26
Zr2AlRu after structural relaxation, computed with PBE.

abc: 4.4512 4.4509 3.7095
angles: 90.00 90.00 89.97
Fractional coordinates of all 4 atoms:
Ru 0.0000 0.5000 0.5000
Al 0.5000 0.0000 0.5000
Zr 0.0000 0.0000 0.0000
Zr 0.5000 0.5000 0.0000

Summary:
* theoretical density: 7.02 g cm⁻³
* magnetization: 0.0 μB per formula unit
* energy relative to the elements: -0.4390 eV/atom
* calculated total energy: -7.9677 eV/atom



No. 27
ZrAlRu3 after structural relaxation, computed with PBE.

abc: 4.4143 4.4143 4.4143
angles: 90.00 90.00 90.00
Fractional coordinates of all 5 atoms:
Ru 0.0000 0.5000 0.0000
Ru 0.0000 0.0000 0.5000
Ru 0.5000 0.0000 0.0000
Al 0.0000 0.0000 0.0000
Zr 0.5000 0.5000 0.5000

Summary:
* theoretical density: 8.14 g cm⁻³
* magnetization: 0.0 μB per formula unit
* energy relative to the elements: 0.3795 eV/atom
* calculated total energy: -7.6441 eV/atom